[1]
CuS | PBE | relaxed

Computed properties:
E_form (uncorrected) ... -86 meV per atom
DOS at the Fermi energy ... 0.636 states/eV/atom
E ... -4.198 eV per atom
Magnetization ... 0.00 Bohr magnetons per cell
SG ... I4/m

abc: 9.3429 9.3429 3.8930
angles: 90.00 90.00 90.00
Sites, in units of the cell vectors:
S (0.6161, 0.1965, 0.0000)
Cu (0.1210, 0.2809, 0.5000)
S (0.6965, 0.8839, 0.5000)
Cu (0.8790, 0.7191, 0.5000)
S (0.8839, 0.3035, 0.5000)
S (0.1965, 0.3839, 0.0000)
S (0.8035, 0.6161, 0.0000)
Cu (0.2191, 0.6210, 0.0000)
Cu (0.3790, 0.2191, 0.0000)
Cu (0.6210, 0.7809, 0.0000)
Cu (0.7809, 0.3790, 0.0000)
S (0.3839, 0.8035, 0.0000)
S (0.3035, 0.1161, 0.5000)
Cu (0.2809, 0.8790, 0.5000)
S (0.1161, 0.6965, 0.5000)
Cu (0.7191, 0.1210, 0.5000)

=====

[2]
Cu2S | PBE | relaxed

Computed properties:
E_form (uncorrected) ... -68 meV per atom
DOS at the Fermi energy ... 0.066 states/eV/atom
E ... -4.174 eV per atom
Magnetization ... 0.00 Bohr magnetons per cell
SG ... C2/m

abc: 4.0582 3.9502 6.8401
angles: 87.36 90.00 120.91
Sites, in units of the cell vectors:
S (0.6616, 0.3231, 0.7277)
S (0.3384, 0.6769, 0.2723)
Cu (0.6666, 0.3332, 0.0668)
Cu (0.3334, 0.6668, 0.9332)
Cu (0.9975, 0.9950, 0.2387)
Cu (0.0025, 0.0050, 0.7613)

=====

[3]
Cu3S2 | PBE | relaxed

Computed properties:
E_form (uncorrected) ... -73 meV per atom
DOS at the Fermi energy ... 0.792 states/eV/atom
E ... -4.182 eV per atom
Magnetization ... 0.00 Bohr magnetons per cell
SG ... P-4m2

abc: 3.4950 5.9531 3.4950
angles: 90.00 90.00 90.00
Sites, in units of the cell vectors:
S (0.5000, 0.4824, 0.5000)
Cu (0.0000, 0.4202, 0.0000)
Cu (0.5000, 0.7500, 0.0000)
Cu (0.5000, 0.0798, 0.5000)
S (0.0000, 0.0176, 0.0000)

=====

[4]
CuS | PBE | relaxed

Computed properties:
E_form (uncorrected) ... -85 meV per atom
DOS at the Fermi energy ... 0.988 states/eV/atom
E ... -4.197 eV per atom
Magnetization ... 0.00 Bohr magnetons per cell
SG ... P4/m

abc: 9.9044 9.9044 3.7173
angles: 90.00 90.00 90.00
Sites, in units of the cell vectors:
S (0.9095, 0.3344, 0.0000)
Cu (0.5713, 0.1168, 0.0000)
S (0.7586, 0.6062, 0.5000)
Cu (0.2128, 0.6262, 0.5000)
Cu (0.8832, 0.5713, 0.0000)
S (0.2414, 0.3938, 0.5000)
Cu (0.7872, 0.3738, 0.5000)
Cu (0.4287, 0.8832, 0.0000)
S (0.6656, 0.9095, 0.0000)
S (0.6062, 0.2414, 0.5000)
Cu (0.1168, 0.4287, 0.0000)
Cu (0.3738, 0.2128, 0.5000)
S (0.3344, 0.0905, 0.0000)
Cu (0.6262, 0.7872, 0.5000)
S (0.0905, 0.6656, 0.0000)
S (0.3938, 0.7586, 0.5000)

=====

[5]
CuS | PBE | relaxed

Computed properties:
E_form (uncorrected) ... -67 meV per atom
DOS at the Fermi energy ... 0.559 states/eV/atom
E ... -4.178 eV per atom
Magnetization ... 0.00 Bohr magnetons per cell
SG ... Fm-3m

abc: 3.4542 3.4542 3.4542
angles: 60.00 60.00 60.00
Sites, in units of the cell vectors:
S (0.0000, 0.0000, 0.0000)
Cu (0.5000, 0.5000, 0.5000)

=====

[6]
CuS | PBE | relaxed

Computed properties:
E_form (uncorrected) ... -120 meV per atom
DOS at the Fermi energy ... 0.951 states/eV/atom
E ... -4.232 eV per atom
Magnetization ... 0.00 Bohr magnetons per cell
SG ... P6_3/m

abc: 8.8681 8.8681 3.7435
angles: 90.00 90.00 120.00
Sites, in units of the cell vectors:
Cu (0.4172, 0.0595, 0.2500)
S (0.6957, 0.1014, 0.2500)
S (0.3043, 0.8986, 0.7500)
Cu (0.6424, 0.5828, 0.2500)
Cu (0.5828, 0.9405, 0.7500)
S (0.1014, 0.4057, 0.7500)
Cu (0.0595, 0.6424, 0.7500)
Cu (0.3576, 0.4172, 0.7500)
S (0.5943, 0.6957, 0.7500)
Cu (0.9405, 0.3576, 0.2500)
S (0.8986, 0.5943, 0.2500)
S (0.4057, 0.3043, 0.2500)

=====

[7]
CuS | PBE | relaxed

Computed properties:
E_form (uncorrected) ... -107 meV per atom
DOS at the Fermi energy ... 0.674 states/eV/atom
E ... -4.219 eV per atom
Magnetization ... 0.00 Bohr magnetons per cell
SG ... Cm

abc: 5.8062 3.4421 6.8105
angles: 90.00 101.01 90.00
Sites, in units of the cell vectors:
Cu (0.4597, 0.0000, 0.8338)
S (0.2877, 0.0000, 0.1353)
S (0.2877, 0.5000, 0.6353)
Cu (0.9040, 0.0000, 0.1196)
S (0.7549, 0.5000, 0.9026)
S (0.7549, 0.0000, 0.4026)
Cu (0.4597, 0.5000, 0.3338)
Cu (0.9040, 0.5000, 0.6196)

=====

[8]
CuS | PBE | relaxed

Computed properties:
E_form (uncorrected) ... -191 meV per atom
DOS at the Fermi energy ... 0.635 states/eV/atom
E ... -4.303 eV per atom
Magnetization ... 0.00 Bohr magnetons per cell
SG ... F-43m

abc: 3.6829 3.6829 3.6829
angles: 60.00 60.00 60.00
Sites, in units of the cell vectors:
Cu (0.2500, 0.2500, 0.2500)
S (0.0000, 0.0000, 0.0000)

=====

[9]
CuS | PBE | relaxed

Computed properties:
E_form (uncorrected) ... -57 meV per atom
DOS at the Fermi energy ... 0.454 states/eV/atom
E ... -4.169 eV per atom
Magnetization ... 0.00 Bohr magnetons per cell
SG ... P-6m2

abc: 3.8527 3.8527 2.7575
angles: 90.00 90.00 120.00
Sites, in units of the cell vectors:
Cu (0.3333, 0.6667, 0.9378)
S (0.6667, 0.3333, 0.9380)

=====

[10]
Cu2S13 | PBE | relaxed

Computed properties:
E_form (uncorrected) ... 129 meV per atom
DOS at the Fermi energy ... 0.346 states/eV/atom
E ... -3.994 eV per atom
Magnetization ... 0.34 Bohr magnetons per cell
SG ... P-1

abc: 16.3754 6.7400 9.1612
angles: 69.69 29.90 79.43
Each line ends with the local moment (μB).
Sites, in units of the cell vectors:
S (0.5000, 0.5000, 0.5000)  0.14
Cu (0.6704, 0.6461, 0.0312)  0.05
S (0.9485, 0.6729, 0.7126)  0.00
S (0.8606, 0.2019, 0.7340)  0.00
S (0.8814, 0.6499, 0.3706)  0.00
S (0.0515, 0.3271, 0.2874)  0.00
S (0.3103, 0.0181, 0.1822)  0.00
S (0.6897, 0.9819, 0.8178)  0.00
S (0.6898, 0.4940, 0.8178)  0.00
S (0.3102, 0.5060, 0.1822)  0.00
S (0.8819, 0.0770, 0.3703)  0.00
Cu (0.3296, 0.3539, 0.9688)  0.05
S (0.1186, 0.3501, 0.6294)  0.00
S (0.1394, 0.7981, 0.2660)  0.00
S (0.1181, 0.9230, 0.6297)  0.00

=====

[11]
CuS | PBE | relaxed

Computed properties:
E_form (uncorrected) ... 86 meV per atom
DOS at the Fermi energy ... 0.536 states/eV/atom
E ... -4.025 eV per atom
Magnetization ... 0.00 Bohr magnetons per cell
SG ... P6_3/mmc

abc: 3.3582 3.3582 6.1400
angles: 90.00 90.00 120.00
Sites, in units of the cell vectors:
S (0.0000, 0.0000, 0.5000)
S (0.0000, 0.0000, 0.0000)
Cu (0.3333, 0.6667, 0.2500)
Cu (0.6667, 0.3333, 0.7500)

=====

[12]
CuSb4S5 | PBE | relaxed

Computed properties:
E_form (uncorrected) ... -13 meV per atom
DOS at the Fermi energy ... 0.453 states/eV/atom
E ... -4.135 eV per atom
Magnetization ... 0.00 Bohr magnetons per cell
SG ... I4

abc: 5.5346 7.0528 7.0528
angles: 81.14 66.90 66.90
Sites, in units of the cell vectors:
Sb (0.4256, 0.3915, 0.8019)
Cu (0.0416, 0.0000, 0.0000)
Sb (0.6189, 0.6085, 0.1981)
S (0.7437, 0.1051, 0.3600)
Sb (0.2275, 0.1981, 0.3915)
S (0.8488, 0.3600, 0.8949)
S (0.1036, 0.6400, 0.1051)
S (0.4749, 0.0000, 0.0000)
Sb (0.8171, 0.8019, 0.6085)
S (0.2087, 0.8949, 0.6400)

=====

[13]
CuSb2S3 | PBE | relaxed

Computed properties:
E_form (uncorrected) ... -88 meV per atom
DOS at the Fermi energy ... 0.527 states/eV/atom
E ... -4.208 eV per atom
Magnetization ... 0.00 Bohr magnetons per cell
SG ... Imm2

abc: 3.6652 5.1192 8.5154
angles: 107.49 102.43 90.00
Sites, in units of the cell vectors:
Sb (0.8497, 0.6502, 0.6993)
Sb (0.1503, 0.9509, 0.3007)
S (0.6309, 0.5795, 0.2618)
Cu (0.5000, 0.2574, 0.0000)
S (0.3691, 0.3178, 0.7382)
S (0.0000, 0.9872, 0.0000)

=====

[14]
CuSb2S4 | PBE | relaxed

Computed properties:
E_form (uncorrected) ... -189 meV per atom
Offset from the most stable computed form ... 0.000 eV/atom
DOS at the Fermi energy ... 0.430 states/eV/atom
E ... -4.311 eV per atom
Magnetization ... 0.00 Bohr magnetons per cell
SG ... I4_1/amd

abc: 7.6633 7.6633 7.6603
angles: 59.98 59.98 90.00
Sites, in units of the cell vectors:
Sb (0.0000, 0.0000, 0.0000)
S (0.2478, 0.2525, 0.4949)
Sb (0.5000, 0.0000, 0.0000)
S (0.7525, 0.7478, 0.9949)
S (0.2475, 0.2522, 0.0051)
Sb (0.5000, 0.5000, 0.5000)
Cu (0.8749, 0.6251, 0.7500)
Cu (0.1251, 0.3749, 0.2500)
S (0.2427, 0.7475, 0.5050)
S (0.7573, 0.2525, 0.4950)
S (0.7525, 0.2573, 0.9950)
Sb (0.5000, 0.0000, 0.5000)
S (0.7522, 0.7475, 0.5051)
S (0.2475, 0.7427, 0.0050)

=====

[15]
CuSb2S | PBE | relaxed

Computed properties:
E_form (uncorrected) ... 209 meV per atom
DOS at the Fermi energy ... 0.697 states/eV/atom
E ... -3.908 eV per atom
Magnetization ... 0.00 Bohr magnetons per cell
SG ... I-42d

abc: 5.9327 5.9327 7.5235
angles: 66.78 66.78 90.00
Sites, in units of the cell vectors:
Sb (0.6575, 0.1250, 0.2500)
Cu (0.7500, 0.2500, 0.5000)
Cu (0.0000, 0.0000, 0.0000)
S (0.2500, 0.7500, 0.5000)
Sb (0.8750, 0.9075, 0.7500)
S (0.5000, 0.5000, 0.0000)
Sb (0.3750, 0.3425, 0.7500)
Sb (0.0925, 0.6250, 0.2500)

=====

[16]
CuSb2S3 | PBE | relaxed

Computed properties:
E_form (uncorrected) ... -87 meV per atom
DOS at the Fermi energy ... 0.389 states/eV/atom
E ... -4.208 eV per atom
Magnetization ... 0.00 Bohr magnetons per cell
SG ... C2/c

abc: 5.7386 6.8390 17.4332
angles: 83.20 73.61 65.19
Sites, in units of the cell vectors:
S (0.6746, 0.1944, 0.5598)
Sb (0.3132, 0.8036, 0.0519)
Sb (0.1169, 0.1964, 0.5519)
S (0.4913, 0.4171, 0.1057)
Cu (0.8681, 0.8772, 0.1857)
Sb (0.3041, 0.6194, 0.6294)
Sb (0.0765, 0.6194, 0.8706)
S (0.5087, 0.5829, 0.8943)
S (0.9084, 0.5829, 0.6057)
Sb (0.8831, 0.8036, 0.4481)
S (0.1310, 0.1944, 0.9402)
S (0.0460, 0.9080, 0.7500)
S (0.3221, 0.3557, 0.7500)
S (0.3254, 0.8056, 0.4402)
S (0.6779, 0.6443, 0.2500)
Cu (0.7453, 0.1228, 0.6857)
Sb (0.6868, 0.1964, 0.9481)
Sb (0.9235, 0.3806, 0.1294)
S (0.0916, 0.4171, 0.3943)
Sb (0.6959, 0.3806, 0.3706)
Cu (0.2547, 0.8772, 0.3143)
Cu (0.1319, 0.1228, 0.8143)
S (0.9540, 0.0920, 0.2500)
S (0.8690, 0.8056, 0.0598)

=====

[17]
Cu3SbS4 | PBE | relaxed

Computed properties:
E_form (uncorrected) ... -221 meV per atom
DOS at the Fermi energy ... 0.241 states/eV/atom
E ... -4.336 eV per atom
Magnetization ... 0.00 Bohr magnetons per cell
SG ... Pmn2_1

abc: 6.3111 6.6053 7.6351
angles: 90.00 90.00 90.00
Sites, in units of the cell vectors:
S (0.8704, 0.8172, 0.0000)
S (0.3706, 0.6560, 0.2362)
Cu (0.0060, 0.6688, 0.2509)
Sb (0.0035, 0.1675, 0.0000)
S (0.3706, 0.6560, 0.7638)
Cu (0.5060, 0.3312, 0.2491)
Cu (0.0052, 0.1663, 0.5000)
S (0.8706, 0.3440, 0.7362)
S (0.8706, 0.3440, 0.2638)
Cu (0.5060, 0.3312, 0.7509)
Cu (0.5052, 0.8337, 0.0000)
S (0.8966, 0.8328, 0.5000)
S (0.3966, 0.1672, 0.0000)
Sb (0.5035, 0.8325, 0.5000)
S (0.3704, 0.1828, 0.5000)
Cu (0.0060, 0.6688, 0.7491)

=====

[18]
CuSbS2 | PBE | relaxed

Computed properties:
E_form (uncorrected) ... -125 meV per atom
DOS at the Fermi energy ... 0.000 states/eV/atom
E ... -4.243 eV per atom
Magnetization ... 0.00 Bohr magnetons per cell
SG ... R-3m

abc: 7.5065 7.5065 7.5065
angles: 31.82 31.82 31.82
Sites, in units of the cell vectors:
Sb (0.5000, 0.5000, 0.5000)
Cu (0.0000, 0.0000, 0.0000)
S (0.0994, 0.0994, 0.0994)
S (0.9006, 0.9006, 0.9006)

=====

[19]
CuSbS | PBE | relaxed

Computed properties:
E_form (uncorrected) ... -29 meV per atom
DOS at the Fermi energy ... 0.334 states/eV/atom
E ... -4.144 eV per atom
Magnetization ... 0.00 Bohr magnetons per cell
SG ... C2/m

abc: 3.8798 7.2955 7.0103
angles: 46.81 73.94 74.58
Sites, in units of the cell vectors:
S (0.6195, 0.1366, 0.6243)
Cu (0.1929, 0.9172, 0.6970)
Sb (0.6553, 0.5832, 0.1062)
Cu (0.8071, 0.0828, 0.3030)
S (0.3805, 0.8634, 0.3757)
Sb (0.3447, 0.4168, 0.8938)

=====

[20]
CuSbS | PBE | relaxed

Computed properties:
E_form (uncorrected) ... -24 meV per atom
DOS at the Fermi energy ... 0.568 states/eV/atom
E ... -4.140 eV per atom
Magnetization ... 0.00 Bohr magnetons per cell
SG ... P3m1

abc: 3.6719 3.6719 4.8821
angles: 90.00 90.00 120.00
Sites, in units of the cell vectors:
Cu (0.3333, 0.6667, 0.6290)
S (0.6667, 0.3333, 0.3995)
Sb (0.0000, 0.0000, 0.9715)